Material: ScCoN2O
Method: DFT, PBE with a Hubbard U
State: optimized geometry

Properties
* magnetic moment: 5.76 μB/f.u.
* total DFT energy (no corrections): -5.98 eV/atom

```
data_ScCoN2O
_space_group_name_H-M_alt 'P 4/m m m'
_space_group_IT_number 123
_space_group_name_Hall '-P 4 2'
_cell_length_a 4.1730
_cell_length_b 4.1730
_cell_length_c 3.9793
_cell_angle_alpha 90.00
_cell_angle_beta 90.00
_cell_angle_gamma 90.00
loop_
_atom_site_label
_atom_site_type_symbol
_atom_site_fract_x
_atom_site_fract_y
_atom_site_fract_z
_atom_site_occupancy
Sc1 Sc 0.0000 0.0000 0.0000 1
Co1 Co 0.5000 0.5000 0.5000 1
N1 N 0.0000 0.5000 0.0000 1
O1 O 0.0000 0.0000 0.5000 1
```